TlVPb2F8, relaxed, DFT PBE+U; volume = 19.1 A^3/atom; DFT total energy = -5.122 eV per atom; ρ = 5964 kg/m³; symmetry = No. 2
1.0
5.387 0.000 0.000
0.158 5.505 0.000
0.046 0.291 7.715
Tl V Pb F
1 1 2 8
Cartesian
0.000 0.000 0.000
0.023 0.145 3.857
2.738 2.936 5.710
2.853 2.861 2.004
1.055 4.510 2.483
1.347 4.906 5.312
1.376 1.570 3.539
1.714 1.979 0.206
3.877 3.817 7.508
4.215 4.226 4.175
4.244 0.890 2.403
4.536 1.286 5.232